1.
Density functional theory data (GGA-PBE) for a relaxed structure of La3CoCu2.

Cell: 11.978 4.377 11.223 Å, 90.00 90.00 90.00°
Space group Pnma (No. 62)
Inequivalent atoms, fractional coordinates:
La (0.052, 0.250, 0.125)
La (0.113, 0.750, 0.555)
La (0.233, 0.250, 0.792)
Co (0.117, 0.250, 0.356)
Cu (0.016, 0.750, 0.307)
Cu (0.209, 0.750, 0.993)

Computed properties:
N(E_F) = 23.1 states/eV/cell

***

2.
Density functional theory data (GGA-PBE) for a relaxed structure of VCdRh2.

Cell: 2.7763 2.7763 29.1807 Å, 90.00 90.00 120.00°
Space group R-3m (No. 166, hexagonal axes)
Inequivalent atoms, fractional coordinates:
V (0.0000, 0.0000, 0.0000)
Cd (0.0000, 0.0000, 0.5000)
Rh (0.0000, 0.0000, 0.4023)

Computed properties:
N(E_F) = 9.2 states/eV/cell

***

Which energy belongs to each record? In order, -5.15 -6.24 eV per atom.
Which ρ belongs to each record? In order, 6805 9441 kg/m3.
Which formation enthalpy at 0 K belongs to each record? In order, -0.134 -0.059 eV per atom.